Computed, not measured: a relaxed structure of MgAg at the PBE level of DFT.

Properties
E_tot: -4.70 eV/f.u.

Unit cell a=5.0956 b=7.8853 c=4.8490 alpha=90.00 beta=90.00 gamma=71.12
Positions (direct):
Ag: 0.4081 0.1985 0.0000
Ag: 0.8066 0.4018 0.0000
Ag: 0.6183 0.8001 0.0000
Ag: 0.0540 0.1928 0.5000
Ag: 0.4470 0.4069 0.5000
Mg: 0.0083 0.0171 0.0000
Mg: 0.2252 0.5832 0.0000
Mg: 0.6402 0.0184 0.5000
Mg: 0.8588 0.5813 0.5000
Mg: 0.2666 0.7999 0.5000

Computed, not measured: a relaxed structure of ScOsNO at the PBE level of DFT.

Properties
energy above the most stable polymorph in this dataset: 0.555 eV per atom
spin magnetization: 0.00 μB per formula unit
E_tot: -34.48 eV/f.u.

Unit cell a=3.2053 b=5.6905 c=6.1140 alpha=90.00 beta=90.00 gamma=90.00
Positions (direct):
N: 0.0000 0.8631 0.2846
N: 0.0000 0.3631 0.7154
O: 0.5000 0.3660 0.1655
O: 0.5000 0.8660 0.8345
Os: 0.5000 0.0342 0.2654
Os: 0.5000 0.5342 0.7346
Sc: 0.0000 0.4907 0.3448
Sc: 0.0000 0.9908 0.6552

Computed, not measured: a relaxed structure of Cu2Ag at the PBE level of DFT.

Properties
energy above the most stable polymorph in this dataset: 0.014 eV per atom
energy of formation: 0.059 eV/atom
E_tot: -10.08 eV/f.u.

Unit cell a=4.8900 b=4.8900 c=10.1331 alpha=110.03 beta=110.03 gamma=33.38
Positions (direct):
Ag: 0.6748 0.6748 0.3587
Ag: 0.0000 0.0000 0.5000
Ag: 0.3252 0.3252 0.6413
Cu: 0.6823 0.6823 0.0633
Cu: 0.9939 0.9939 0.1299
Cu: 0.3589 0.3589 0.2553
Cu: 0.6411 0.6411 0.7447
Cu: 0.0061 0.0061 0.8701
Cu: 0.3177 0.3177 0.9367

Computed, not measured: a relaxed structure of Al2PdO4 at the PBE level of DFT.

Properties
energy above the most stable polymorph in this dataset: 0.028 eV per atom
E_tot: -46.30 eV/f.u.

Unit cell a=8.0765 b=8.0765 c=5.2833 alpha=90.00 beta=90.00 gamma=90.00
Positions (direct):
Al: 0.7502 0.2498 0.2500
Al: 0.2502 0.2502 0.2500
Al: 0.7498 0.7498 0.2500
Al: 0.2498 0.7502 0.2500
Al: 0.2498 0.2498 0.7500
Al: 0.7498 0.2502 0.7500
Al: 0.2502 0.7498 0.7500
Al: 0.7502 0.7502 0.7500
O: 0.2628 0.0963 0.0002
O: 0.5963 0.2372 0.0002
O: 0.4037 0.7628 0.0002
O: 0.7372 0.9037 0.0002
O: 0.0963 0.2628 0.4998
O: 0.7628 0.4037 0.4998
O: 0.2372 0.5963 0.4998
O: 0.9037 0.7372 0.4998
O: 0.7372 0.0963 0.5002
O: 0.4037 0.2372 0.5002
O: 0.5963 0.7628 0.5002
O: 0.2628 0.9037 0.5002
O: 0.9037 0.2628 0.9998
O: 0.2372 0.4037 0.9998
O: 0.7628 0.5963 0.9998
O: 0.0963 0.7372 0.9998
Pd: 0.5000 0.0000 0.0002
Pd: 0.0000 0.5000 0.4998
Pd: 0.5000 0.0000 0.5002
Pd: 0.0000 0.5000 0.9998

Computed, not measured: a relaxed structure of CuBOsW at the PBE level of DFT.

Properties
energy above the most stable polymorph in this dataset: 0.178 eV per atom
spin magnetization: 0.00 μB per formula unit
E_tot: -31.76 eV/f.u.

Unit cell a=4.1688 b=4.1688 c=4.1688 alpha=60.00 beta=60.00 gamma=60.00
Positions (direct):
B: 0.0000 0.0000 0.0000
Cu: 0.7500 0.7500 0.7500
Os: 0.5000 0.5000 0.5000
W: 0.2500 0.2500 0.2500

Computed, not measured: a relaxed structure of HoLuZnTe3 at the PBE level of DFT.

Properties
spin magnetization: 0.00 μB per formula unit
E_tot: -25.10 eV/f.u.

Unit cell a=7.7920 b=7.7920 c=10.4451 alpha=90.00 beta=90.00 gamma=149.65
Positions (direct):
Ho: 0.0000 0.0000 0.0000
Ho: 0.0000 0.0000 0.5000
Lu: 0.7759 0.2241 0.2500
Lu: 0.2241 0.7759 0.7500
Te: 0.3476 0.6524 0.0535
Te: 0.1197 0.8803 0.2500
Te: 0.3476 0.6524 0.4465
Te: 0.6524 0.3476 0.5535
Te: 0.8803 0.1197 0.7500
Te: 0.6524 0.3476 0.9465
Zn: 0.4797 0.5203 0.2500
Zn: 0.5203 0.4797 0.7500

Computed, not measured: a relaxed structure of ReAsNO at the PBE level of DFT.

Properties
energy above the most stable polymorph in this dataset: 0.746 eV per atom
spin magnetization: 0.01 μB per formula unit
E_tot: -28.34 eV/f.u.

Unit cell a=4.2050 b=4.2050 c=5.5101 alpha=90.00 beta=90.00 gamma=75.69
Positions (direct):
As: 0.7500 0.2500 0.5000
As: 0.2500 0.7500 0.5000
N: 0.7500 0.7500 0.2626
N: 0.2500 0.2500 0.7374
O: 0.7500 0.2500 0.0000
O: 0.2500 0.7500 0.0000
Re: 0.2500 0.2500 0.0752
Re: 0.7500 0.7500 0.9248

Computed, not measured: a relaxed structure of KHfTe4Au3 at the PBE level of DFT.

Properties
energy above the most stable polymorph in this dataset: 0.011 eV per atom
spin magnetization: 0.00 μB per formula unit
E_tot: -37.56 eV/f.u.

Unit cell a=6.7869 b=6.7869 c=6.7869 alpha=90.00 beta=90.00 gamma=90.00
Positions (direct):
Au: 0.5000 0.0000 0.0000
Au: 0.0000 0.5000 0.0000
Au: 0.0000 0.0000 0.5000
Hf: 0.0000 0.0000 0.0000
K: 0.5000 0.5000 0.5000
Te: 0.7691 0.2309 0.2309
Te: 0.2309 0.7691 0.2309
Te: 0.2309 0.2309 0.7691
Te: 0.7691 0.7691 0.7691

Computed, not measured: a relaxed structure of Pm2Ag2Pd at the PBE level of DFT.

Properties
spin magnetization: 0.01 μB per formula unit
energy of formation: -0.347 eV/atom
E_tot: -22.05 eV/f.u.

Unit cell a=4.6520 b=4.6520 c=13.1139 alpha=90.00 beta=90.00 gamma=120.00
Positions (direct):
Ag: 0.0000 0.0000 0.0000
Ag: 0.3333 0.6667 0.2500
Ag: 0.0000 0.0000 0.5000
Ag: 0.6667 0.3333 0.7500
Pd: 0.0000 0.0000 0.2500
Pd: 0.0000 0.0000 0.7500
Pm: 0.6667 0.3333 0.1195
Pm: 0.6667 0.3333 0.3805
Pm: 0.3333 0.6667 0.6195
Pm: 0.3333 0.6667 0.8805

Computed, not measured: a relaxed structure of PmDySc at the PBE level of DFT.

Properties
energy above the most stable polymorph in this dataset: 0.000 eV per atom
spin magnetization: 0.05 μB per formula unit
energy of formation: 0.677 eV/atom
E_tot: -13.64 eV/f.u.

Unit cell a=5.2762 b=5.2762 c=5.2762 alpha=60.00 beta=60.00 gamma=60.00
Positions (direct):
Dy: 0.2500 0.2500 0.2500
Pm: 0.7500 0.7500 0.7500
Sc: 0.0000 0.0000 0.0000

Computed, not measured: a relaxed structure of Tm4InHgB2 at the PBE level of DFT.

Properties
spin magnetization: 0.70 μB per formula unit
E_tot: -35.43 eV/f.u.

Unit cell a=3.6012 b=3.6012 c=16.2200 alpha=90.00 beta=90.00 gamma=120.00
Each line ends with the local moment (μB).
Positions (direct):
B: 0.3333 0.6667 0.2434  0.01
B: 0.3333 0.6667 0.7565  0.01
Hg: 0.0000 0.0000 0.0000  0.06
In: 0.6667 0.3333 0.5000  0.00
Tm: 0.6667 0.3333 0.1522  0.15
Tm: 0.0000 0.0000 0.3374  0.05
Tm: 0.0000 0.0000 0.6626  0.05
Tm: 0.6667 0.3333 0.8478  0.15

Computed, not measured: a relaxed structure of CsNaAgSb at the PBE level of DFT.

Properties
energy above the most stable polymorph in this dataset: 0.000 eV per atom
E_tot: -10.57 eV/f.u.

Unit cell a=6.3720 b=5.9564 c=7.5296 alpha=90.00 beta=105.16 gamma=90.00
Positions (direct):
Ag: 0.0000 0.0000 0.0000
Ag: 0.0000 0.5000 0.0000
Cs: 0.5660 0.7500 0.1861
Cs: 0.4340 0.2500 0.8139
Na: 0.1656 0.7500 0.4743
Na: 0.8344 0.2500 0.5257
Sb: 0.2074 0.2500 0.2987
Sb: 0.7926 0.7500 0.7013

Number 1: calculated density 5.95 Mg/m³. Number 2: calculated density 7.90 Mg/m³. Number 3: calculated density 9.40 Mg/m³. Number 4: calculated density 4.32 Mg/m³. Number 5: calculated density 14.54 Mg/m³. Number 6: calculated density 8.17 Mg/m³. Number 7: calculated density 10.24 Mg/m³. Number 8: calculated density 7.01 Mg/m³. Number 9: calculated density 8.27 Mg/m³. Number 10: calculated density 5.64 Mg/m³. Number 11: calculated density 9.23 Mg/m³. Number 12: calculated density 4.64 Mg/m³.